# 1
YTaMn2: relaxed, GGA-PBEsol.

The space group is Amm2 (No. 38) and the conventional cell measures 3.514, 3.700 and 10.632 Å, with angles of 90.00, 90.00 and 90.00 degrees. The distinct sites, in fractional coordinates, are Y at (0.000, 0.000, 0.000), Ta at (0.500, 0.000, 0.708), Mn at (0.000, 0.000, 0.270) and Mn at (0.500, 0.000, 0.381).

The value obtained for the calculated total energy is -0.348 Ha/atom. The mass density is 9.1 g cm⁻³. The calculation puts the formation energy at 0.2566 eV/atom.

=====

# 2
YZrTaMn2: relaxed, GGA-PBEsol.

The space group is P4/mmm (No. 123) and the conventional cell measures 4.676, 4.676 and 4.995 Å, with angles of 90.00, 90.00 and 90.00 degrees. The distinct sites, in fractional coordinates, are Y at (0.000, 0.000, 0.000), Zr at (0.500, 0.500, 0.000), Ta at (0.500, 0.500, 0.500) and Mn at (0.000, 0.500, 0.500).

The value obtained for the calculated total energy is -0.319 Ha/atom. The mass density is 7.2 g cm⁻³. The calculation puts the formation energy at 0.9236 eV/atom.

=====

# 3
TaMnZn2: relaxed, GGA-PBEsol.

The space group is F-43m (No. 216) and the conventional cell measures 6.065, 6.065 and 6.065 Å, with angles of 90.00, 90.00 and 90.00 degrees. The distinct sites, in fractional coordinates, are Ta at (0.000, 0.000, 0.000), Mn at (0.250, 0.250, 0.250), Zn at (0.000, 0.000, 0.500) and Zn at (0.250, 0.250, 0.750).

The value obtained for the calculated total energy is -0.227 Ha/atom. Its distance to the lowest polymorph of the same formula is 0.48 eV per formula unit. The mass density is 10.9 g cm⁻³. The calculation puts the formation energy at 0.1850 eV/atom.